(1)
DFT (SCAN) results for V3Cr2CuP6O24 at its PBEsol-relaxed geometry.

Volume (Å³/atom): 11.6
Formation energy (no corrections) (eV/f.u.): -85.3

a b c (Å): 8.5247 8.5247 19.9271
angles (deg): 90.00 90.00 120.00
Space group R3 (No. 146, hexagonal axes)
Asymmetric unit:
V 0.0000 0.0000 0.0000
V 0.0000 0.0000 0.2139
V 0.0000 0.0000 0.5024
Cr 0.0000 0.0000 0.3571
Cr 0.0000 0.0000 0.8554
Cu 0.0000 0.0000 0.7106
P 0.0019 0.2994 0.6102
P 0.0019 0.7056 0.1089
O 0.0075 0.2180 0.6757
O 0.0221 0.8325 0.7916
O 0.0306 0.8295 0.1692
O 0.1407 0.6684 0.7123
O 0.1455 0.4708 0.2150
O 0.1644 0.4969 0.9489
O 0.1681 0.6764 0.0987
O 0.1714 0.4920 0.5957

(2)
DFT (SCAN) results for Cr6CuSi2Pb10O34 at its PBEsol-relaxed geometry.

Volume (Å³/atom): 14.7
Formation energy (no corrections) (eV/f.u.): -91.9

a b c (Å): 9.720 9.907 9.960
angles (deg): 64.02 70.37 66.78
Space group P-1 (No. 2)
Asymmetric unit:
Cr 0.040 0.148 0.289
Cr 0.224 0.328 0.490
Cr 0.264 0.662 0.008
Cu 0.500 0.500 0.500
Si 0.481 0.832 0.204
Pb 0.144 0.743 0.323
Pb 0.174 0.475 0.785
Pb 0.236 0.036 0.917
Pb 0.351 0.833 0.573
Pb 0.361 0.245 0.160
O 0.002 0.981 0.740
O 0.075 0.290 0.128
O 0.108 0.783 0.075
O 0.111 0.770 0.599
O 0.113 0.415 0.368
O 0.138 0.228 0.656
O 0.194 0.069 0.363
O 0.222 0.549 0.957
O 0.263 0.463 0.516
O 0.331 0.875 0.137
O 0.356 0.239 0.899
O 0.361 0.550 0.141
O 0.362 0.779 0.859
O 0.385 0.209 0.423
O 0.394 0.557 0.662
O 0.442 0.713 0.384
O 0.493 0.018 0.787

(3)
DFT (SCAN) results for Sr2CrCuSO3 at its PBEsol-relaxed geometry.

Volume (Å³/atom): 14.2
Formation energy (no corrections) (eV/f.u.): -18.7

a b c (Å): 3.860 3.860 15.295
angles (deg): 90.00 90.00 90.00
Space group P4/nmm (No. 129, origin choice 2)
Asymmetric unit:
Sr 0.250 0.250 0.089
Sr 0.250 0.250 0.317
Cr 0.250 0.250 0.807
Cu 0.250 0.750 0.500
S 0.250 0.250 0.590
O 0.250 0.250 0.929
O 0.250 0.750 0.212

(4)
DFT (SCAN) results for Sr3Cr2Cu2S2O5 at its PBEsol-relaxed geometry.

Volume (Å³/atom): 13.8
Formation energy (no corrections) (eV/f.u.): -30.8

a b c (Å): 3.864 3.864 25.945
angles (deg): 90.00 90.00 90.00
Space group I4/mmm (No. 139)
Asymmetric unit:
Sr 0.000 0.000 0.000
Sr 0.000 0.000 0.142
Cr 0.000 0.000 0.428
Cu 0.000 0.500 0.250
S 0.000 0.000 0.303
O 0.000 0.000 0.500
O 0.000 0.500 0.081

(5)
DFT (SCAN) results for Sr8Tl3CrCu4O20 at its PBEsol-relaxed geometry.

Volume (Å³/atom): 13.4
Formation energy (no corrections) (eV/f.u.): -69.5

a b c (Å): 14.985 17.641 3.638
angles (deg): 90.00 90.00 90.00
Space group Cmmm (No. 65)
Asymmetric unit:
Sr 0.124 0.151 0.000
Sr 0.126 0.359 0.000
Tl 0.000 0.000 0.500
Tl 0.229 0.000 0.500
Cr 0.000 0.500 0.500
Cu 0.000 0.250 0.500
Cu 0.250 0.250 0.500
O 0.000 0.117 0.500
O 0.000 0.262 0.000
O 0.000 0.403 0.500
O 0.083 0.500 0.000
O 0.125 0.255 0.500
O 0.126 0.000 0.000
O 0.250 0.115 0.500
O 0.250 0.250 0.000

(6)
DFT (SCAN) results for Sr2YCrCu2O7 at its PBEsol-relaxed geometry.

Volume (Å³/atom): 13.0
Formation energy (no corrections) (eV/f.u.): -31.1

a b c (Å): 7.699 22.617 5.408
angles (deg): 90.00 134.29 90.00
Space group Cm (No. 8)
Asymmetric unit:
Sr 0.000 0.104 0.000
Sr 0.032 0.395 0.033
Y 0.016 0.250 0.014
Cr 0.089 0.000 0.630
Cr 0.444 0.000 0.498
Cu 0.014 0.314 0.511
Cu 0.017 0.186 0.514
O 0.064 0.431 0.541
O 0.153 0.000 0.028
O 0.254 0.184 0.489
O 0.255 0.313 0.013
O 0.277 0.184 0.012
O 0.277 0.313 0.534
O 0.390 0.000 0.783
O 0.463 0.432 0.427

(7)
DFT (SCAN) results for V4CrCuO12 at its PBEsol-relaxed geometry.

Volume (Å³/atom): 12.9
Formation energy (no corrections) (eV/f.u.): -42.3

a b c (Å): 9.781 8.723 5.783
angles (deg): 90.00 109.76 90.00
Space group C2 (No. 5)
Asymmetric unit:
V 0.199 0.000 0.485
V 0.210 0.182 0.003
Cr 0.000 0.670 0.500
Cu 0.000 0.498 0.000
O 0.104 0.664 0.857
O 0.118 0.506 0.431
O 0.130 0.081 0.191
O 0.136 0.819 0.473
O 0.149 0.111 0.697
O 0.158 0.362 0.998

(8)
DFT (SCAN) results for CrCuW2O8 at its PBEsol-relaxed geometry.

Volume (Å³/atom): 10.6
Formation energy (no corrections) (eV/f.u.): -25.0

a b c (Å): 9.148 11.294 4.920
angles (deg): 90.00 90.24 90.00
Space group C2/c (No. 15)
Asymmetric unit:
Cr 0.000 0.176 0.250
Cu 0.000 0.335 0.750
W 0.249 0.087 0.756
O 0.116 0.181 0.581
O 0.121 0.305 0.108
O 0.134 0.061 0.083
O 0.142 0.450 0.564

(9)
DFT (SCAN) results for ZnCr4Cu3O12 at its PBEsol-relaxed geometry.

Volume (Å³/atom): 9.1
Formation energy (no corrections) (eV/f.u.): -33.2

a b c (Å): 7.136 7.136 7.136
angles (deg): 90.00 90.00 90.00
Space group Im-3 (No. 204)
Asymmetric unit:
Zn 0.000 0.000 0.000
Cr 0.250 0.250 0.250
Cu 0.000 0.000 0.500
O 0.000 0.302 0.180

(10)
DFT (SCAN) results for CrCu2Os at its PBEsol-relaxed geometry.

Total DFT energy (no corrections) (eV per atom): -29.87
Volume (Å³/atom): 12.4

a b c (Å): 2.780 4.252 8.413
angles (deg): 90.00 90.00 90.00
Space group Cmm2 (No. 35)
Asymmetric unit:
Cr 0.000 0.000 0.000
Cu 0.000 0.000 0.512
Cu 0.000 0.500 0.752
Os 0.000 0.500 0.244

(11)
DFT (SCAN) results for CrCu2Os at its PBEsol-relaxed geometry.

Total DFT energy (no corrections) (eV per atom): -29.92
Volume (Å³/atom): 12.0

a b c (Å): 3.479 3.479 7.958
angles (deg): 90.00 90.00 90.00
Space group I4/mmm (No. 139)
Asymmetric unit:
Cr 0.000 0.000 0.000
Cu 0.000 0.500 0.250
Os 0.000 0.000 0.500

(12)
DFT (SCAN) results for CrCu2Os at its PBEsol-relaxed geometry.

Total DFT energy (no corrections) (eV per atom): -29.97
Volume (Å³/atom): 12.0

a b c (Å): 3.669 3.669 7.142
angles (deg): 90.00 90.00 90.00
Space group I-4m2 (No. 119)
Asymmetric unit:
Cr 0.000 0.000 0.000
Cu 0.000 0.000 0.500
Cu 0.000 0.500 0.750
Os 0.000 0.500 0.250

> What is the volume in the third record?

14.2 Å³/atom

> Among the records above, which one has the lowest volume?

ZnCr4Cu3O12

> Which formula does entry 2 have?

Cr6CuSi2Pb10O34

> Which of these has the highest volume?

Cr6CuSi2Pb10O34